#A
This record from the Alexandria database describes an optimized crystal structure of KMo2Os. The functional is GGA-PBE. Values from VASP.

Properties
space-group type: No. 10
spin magnetization: 0.00 μB/f.u.

```
&SYSTEM
  ibrav = 0, nat = 4, ntyp = 3
/
ATOMIC_SPECIES
K 39.10 K.upf
Mo 95.94 Mo.upf
Os 190.23 Os.upf
ATOMIC_POSITIONS crystal
K 0.500 0.750 0.750
Mo 0.000 0.773 0.101
Mo 0.000 0.727 0.399
Os 0.500 0.250 0.250
CELL_PARAMETERS angstrom
-1.465 1.694 -3.229
1.834 -1.395 -1.563
-5.055 -6.402 -1.066
```

---

#B
This record from the Alexandria database describes an optimized crystal structure of KMo2Os. The functional is GGA-PBE. Values from VASP.

Properties
space-group type: No. 99
spin magnetization: 0.00 μB/f.u.

```
&SYSTEM
  ibrav = 0, nat = 4, ntyp = 3
/
ATOMIC_SPECIES
K 39.10 K.upf
Mo 95.94 Mo.upf
Os 190.23 Os.upf
ATOMIC_POSITIONS crystal
K 0.500 0.500 0.731
Mo 0.000 0.000 0.057
Mo 0.500 0.500 0.267
Os 0.000 0.000 0.445
CELL_PARAMETERS angstrom
-1.178 -0.579 2.478
-1.776 -1.769 -1.257
6.417 -7.386 1.326
```

---

Which structure wins on stability? #A wins.

---

#A
This record from the Alexandria database describes an optimized crystal structure of CuICl. The functional is GGA-PBE. Values from VASP.

Properties
space-group type: No. 156
spin magnetization: 0.54 μB/f.u.

```
&SYSTEM
  ibrav = 0, nat = 3, ntyp = 3
/
ATOMIC_SPECIES
I 126.90 I.upf
Cu 63.55 Cu.upf
Cl 35.45 Cl.upf
ATOMIC_POSITIONS crystal
I 0.000 0.000 0.097
Cu 0.667 0.333 0.364
Cl 0.333 0.667 0.539
CELL_PARAMETERS angstrom
-1.274 -3.414 0.704
1.379 0.813 -3.348
6.149 -1.865 2.079
```

---

#B
This record from the Alexandria database describes an optimized crystal structure of CuICl. The functional is GGA-PBE. Values from VASP.

Properties
space-group type: No. 1
spin magnetization: 0.00 μB/f.u.

```
&SYSTEM
  ibrav = 0, nat = 3, ntyp = 3
/
ATOMIC_SPECIES
I 126.90 I.upf
Cu 63.55 Cu.upf
Cl 35.45 Cl.upf
ATOMIC_POSITIONS crystal
I 0.265 0.918 0.235
Cu 0.773 0.640 0.501
Cl 0.274 0.431 0.708
CELL_PARAMETERS angstrom
-2.030 2.202 -1.755
-3.274 1.797 2.611
2.404 6.050 1.416
```

---

Which structure wins on stability? #B wins.

---

#A
This record from the Alexandria database describes an optimized crystal structure of LiRuCl2. The functional is GGA-PBE. Values from VASP.

Properties
space-group type: No. 44
spin magnetization: 1.34 μB/f.u.

```
&SYSTEM
  ibrav = 0, nat = 4, ntyp = 3
/
ATOMIC_SPECIES
Cl 35.45 Cl.upf
Li 6.94 Li.upf
Ru 101.07 Ru.upf
ATOMIC_POSITIONS crystal
Cl 0.012 0.012 0.000
Cl 0.756 0.256 0.500
Li 0.523 0.523 0.000
Ru 0.210 0.710 0.500
CELL_PARAMETERS angstrom
7.923 0.092 0.003
6.487 4.549 -0.003
-7.225 -2.258 2.340
```

---

#B
This record from the Alexandria database describes an optimized crystal structure of LiRuCl2. The functional is GGA-PBE. Values from VASP.

Properties
space-group type: No. 225
spin magnetization: 3.00 μB/f.u.

```
&SYSTEM
  ibrav = 0, nat = 4, ntyp = 3
/
ATOMIC_SPECIES
Ru 101.07 Ru.upf
Li 6.94 Li.upf
Cl 35.45 Cl.upf
ATOMIC_POSITIONS crystal
Ru 0.500 0.500 0.500
Li 0.000 0.000 0.000
Cl 0.250 0.250 0.250
Cl 0.750 0.750 0.750
CELL_PARAMETERS angstrom
4.255 -1.538 0.802
0.773 -4.511 0.411
2.289 -2.248 -3.290
```

---

Which structure wins on stability? #A wins.

---

#A
This record from the Alexandria database describes an optimized crystal structure of Be2SiTe. The functional is GGA-PBE. Values from VASP.

Properties
space-group type: No. 225
spin magnetization: 0.00 μB/f.u.

```
&SYSTEM
  ibrav = 0, nat = 4, ntyp = 3
/
ATOMIC_SPECIES
Be 9.01 Be.upf
Si 28.09 Si.upf
Te 127.60 Te.upf
ATOMIC_POSITIONS crystal
Be 0.250 0.250 0.250
Be 0.750 0.750 0.750
Si 0.000 0.000 0.000
Te 0.500 0.500 0.500
CELL_PARAMETERS angstrom
0.000 3.137 3.137
3.137 0.000 3.137
3.137 3.137 0.000
```

---

#B
This record from the Alexandria database describes an optimized crystal structure of Be2SiTe. The functional is GGA-PBE. Values from VASP.

Properties
space-group type: No. 123
spin magnetization: 0.00 μB/f.u.

```
&SYSTEM
  ibrav = 0, nat = 4, ntyp = 3
/
ATOMIC_SPECIES
Be 9.01 Be.upf
Si 28.09 Si.upf
Te 127.60 Te.upf
ATOMIC_POSITIONS crystal
Be 0.000 0.000 0.064
Be 0.000 0.000 0.436
Si 0.500 0.500 0.250
Te 0.500 0.500 0.750
CELL_PARAMETERS angstrom
-0.608 2.417 2.184
-3.257 -0.486 -0.368
0.089 -3.814 4.246
```

---

Which structure wins on stability? #B wins.

---

#A
This record from the Alexandria database describes an optimized crystal structure of FePCSe. The functional is GGA-PBE. Values from VASP.

Properties
space-group type: No. 1
spin magnetization: 0.00 μB/f.u.

```
&SYSTEM
  ibrav = 0, nat = 4, ntyp = 4
/
ATOMIC_SPECIES
P 30.97 P.upf
C 12.01 C.upf
Fe 55.84 Fe.upf
Se 78.96 Se.upf
ATOMIC_POSITIONS crystal
P 0.037 0.046 0.836
C 0.492 0.789 0.736
Fe 0.414 0.295 0.561
Se 0.828 0.737 0.368
CELL_PARAMETERS angstrom
2.867 0.000 0.000
0.000 3.161 -0.001
-1.281 -0.233 6.995
```

---

#B
This record from the Alexandria database describes an optimized crystal structure of FePCSe. The functional is GGA-PBE. Values from VASP.

Properties
space-group type: No. 38
spin magnetization: 0.56 μB/f.u.

```
&SYSTEM
  ibrav = 0, nat = 8, ntyp = 4
/
ATOMIC_SPECIES
P 30.97 P.upf
C 12.01 C.upf
Fe 55.84 Fe.upf
Se 78.96 Se.upf
ATOMIC_POSITIONS crystal
P 0.500 0.000 0.570
P 0.500 0.500 0.070
C 0.500 0.000 0.151
C 0.500 0.500 0.651
Fe 0.000 0.000 0.689
Fe 0.000 0.500 0.189
Se 0.000 0.000 0.839
Se 0.000 0.500 0.339
CELL_PARAMETERS angstrom
2.786 0.000 0.000
0.000 2.756 0.000
0.000 0.000 15.802
```

---

Which structure wins on stability? #A wins.

---

#A
This record from the Alexandria database describes an optimized crystal structure of CeInSe2. The functional is GGA-PBE. Values from VASP.

Properties
space-group type: No. 123
spin magnetization: 0.91 μB/f.u.

```
&SYSTEM
  ibrav = 0, nat = 4, ntyp = 3
/
ATOMIC_SPECIES
Se 78.96 Se.upf
Ce 140.12 Ce.upf
In 114.82 In.upf
ATOMIC_POSITIONS crystal
Se 0.000 0.000 0.782
Se 0.000 0.000 0.218
Ce 0.500 0.500 0.000
In 0.500 0.500 0.500
CELL_PARAMETERS angstrom
3.712 0.000 0.000
0.000 3.712 0.000
0.000 0.000 7.535
```

---

#B
This record from the Alexandria database describes an optimized crystal structure of CeInSe2. The functional is GGA-PBE. Values from VASP.

Properties
space-group type: No. 123
spin magnetization: 0.91 μB/f.u.

```
&SYSTEM
  ibrav = 0, nat = 4, ntyp = 3
/
ATOMIC_SPECIES
Se 78.96 Se.upf
Ce 140.12 Ce.upf
In 114.82 In.upf
ATOMIC_POSITIONS crystal
Se 0.000 0.000 0.500
Se 0.000 0.500 0.000
Ce 0.500 0.500 0.500
In 0.500 0.000 0.000
CELL_PARAMETERS angstrom
-0.352 1.320 3.581
-0.515 -4.684 1.676
4.954 -0.327 0.607
```

---

Which structure wins on stability? #A wins.

---

#A
This record from the Alexandria database describes an optimized crystal structure of BC2. The functional is GGA-PBE. Values from VASP.

Properties
space-group type: No. 1
spin magnetization: 0.00 μB/f.u.

```
&SYSTEM
  ibrav = 0, nat = 12, ntyp = 2
/
ATOMIC_SPECIES
B 10.81 B.upf
C 12.01 C.upf
ATOMIC_POSITIONS crystal
B 0.001 0.008 0.991
B 0.238 0.734 0.268
B 0.689 0.663 0.327
B 0.329 0.340 0.666
C 0.341 0.313 0.163
C 0.586 0.094 0.413
C 0.887 0.420 0.583
C 0.986 0.013 0.510
C 0.258 0.759 0.744
C 0.591 0.067 0.930
C 0.665 0.667 0.832
C 0.928 0.422 0.072
CELL_PARAMETERS angstrom
4.412 0.135 -1.574
2.928 3.397 -1.520
-0.290 -0.053 5.331
```

---

#B
This record from the Alexandria database describes an optimized crystal structure of BC2. The functional is GGA-PBE. Values from VASP.

Properties
space-group type: No. 5
spin magnetization: 0.00 μB/f.u.

```
&SYSTEM
  ibrav = 0, nat = 12, ntyp = 2
/
ATOMIC_SPECIES
B 10.81 B.upf
C 12.01 C.upf
ATOMIC_POSITIONS crystal
B 0.238 0.820 0.267
B 0.346 0.268 0.155
B 0.847 0.428 0.566
B 0.399 0.321 0.678
C 0.989 0.014 0.991
C 0.602 0.065 0.417
C 0.696 0.657 0.332
C 0.010 0.971 0.501
C 0.241 0.766 0.754
C 0.578 0.089 0.917
C 0.653 0.677 0.843
C 0.901 0.426 0.079
CELL_PARAMETERS angstrom
4.465 0.083 -1.460
2.905 3.392 -1.460
-0.158 -0.075 5.319
```

---

Which structure wins on stability? #A wins.